Material: Tb8Sb3Te4P
Method: DFT, PBE
State: optimized geometry

Cell lengths 8.728, 8.728, 8.728 Å; angles 59.64, 59.64, 59.64 degrees
Atoms (fractional coordinates):
Tb  0.246  0.246  0.246
Tb  0.262  0.732  0.732
Tb  0.268  0.268  0.738
Tb  0.268  0.738  0.268
Tb  0.732  0.262  0.732
Tb  0.732  0.732  0.262
Tb  0.738  0.268  0.268
Tb  0.754  0.754  0.754
Sb  0.000  0.000  0.500
Sb  0.000  0.500  0.000
Sb  0.500  0.000  0.000
Te  0.000  0.000  0.000
Te  0.000  0.500  0.500
Te  0.500  0.000  0.500
Te  0.500  0.500  0.000
P  0.500  0.500  0.500

Calculated values
total moment = 0.000 μB/f.u.
density of states at the Fermi level = 0.468 states/eV/atom
E_form (uncorrected) = -1334 meV/atom